A | {"formula": "K3OsO6", "functional": "PBE", "state": "optimized geometry", "crystal_system": "monoclinic", "magmom_total_mub_per_cell": 2.10, "sg": "No. 14", "lattice_angstrom": [[6.218, 0.000, 0.000], [0.000, 6.395, 0.000], [-6.205, 0.000, 8.853]], "species": ["K", "K", "K", "K", "K", "K", "Os", "Os", "O", "O", "O", "O", "O", "O", "O", "O", "O", "O", "O", "O"], "fractional_positions": [[0.000, 0.000, 0.000], [0.000, 0.500, 0.500], [0.236, 0.042, 0.747], [0.236, 0.458, 0.247], [0.764, 0.542, 0.753], [0.764, 0.958, 0.253], [0.500, 0.000, 0.500], [0.500, 0.500, 0.000], [0.226, 0.166, 0.468], [0.226, 0.334, 0.968], [0.290, 0.738, 0.950], [0.290, 0.762, 0.450], [0.376, 0.032, 0.298], [0.376, 0.468, 0.798], [0.624, 0.532, 0.202], [0.624, 0.968, 0.702], [0.710, 0.238, 0.550], [0.710, 0.262, 0.050], [0.774, 0.666, 0.032], [0.774, 0.834, 0.532]]}

=====

B | {"formula": "K3OsO6", "functional": "PBE", "state": "optimized geometry", "crystal_system": "trigonal", "magmom_total_mub_per_cell": 2.10, "sg": "No. 167", "lattice_angstrom": [[5.054, 2.918, 4.207], [-5.054, 2.918, 4.207], [0.000, -5.836, 4.207]], "species": ["K", "K", "K", "K", "K", "K", "Os", "Os", "O", "O", "O", "O", "O", "O", "O", "O", "O", "O", "O", "O"], "fractional_positions": [[0.080, 0.750, 0.420], [0.250, 0.580, 0.920], [0.420, 0.080, 0.750], [0.580, 0.920, 0.250], [0.750, 0.420, 0.080], [0.920, 0.250, 0.580], [0.000, 0.000, 0.000], [0.500, 0.500, 0.500], [0.059, 0.929, 0.757], [0.071, 0.243, 0.941], [0.243, 0.941, 0.071], [0.257, 0.429, 0.559], [0.429, 0.559, 0.257], [0.441, 0.743, 0.571], [0.559, 0.257, 0.429], [0.571, 0.441, 0.743], [0.743, 0.571, 0.441], [0.757, 0.059, 0.929], [0.929, 0.757, 0.059], [0.941, 0.071, 0.243]]}

=====

Verdict on stability: B comes out at the bottom.

=====

A | {"formula": "KOs3O", "functional": "PBE", "state": "optimized geometry", "crystal_system": "cubic", "magmom_total_mub_per_cell": 6.74, "sg": "No. 221", "lattice_angstrom": [[4.696, 0.000, 0.000], [0.000, 4.696, 0.000], [0.000, 0.000, 4.696]], "species": ["K", "Os", "Os", "Os", "O"], "fractional_positions": [[0.000, 0.000, 0.000], [0.000, 0.000, 0.500], [0.000, 0.500, 0.000], [0.500, 0.000, 0.000], [0.500, 0.500, 0.500]]}

=====

B | {"formula": "KOs3O", "functional": "PBE", "state": "optimized geometry", "crystal_system": "cubic", "magmom_total_mub_per_cell": 0.53, "sg": "No. 221", "lattice_angstrom": [[4.260, 0.000, 0.000], [0.000, 4.260, 0.000], [0.000, 0.000, 4.260]], "species": ["K", "Os", "Os", "Os", "O"], "fractional_positions": [[0.000, 0.000, 0.000], [0.000, 0.500, 0.500], [0.500, 0.000, 0.500], [0.500, 0.500, 0.000], [0.500, 0.500, 0.500]]}

=====

Verdict on stability: A comes out at the bottom.

=====

A | {"formula": "K2PO", "functional": "PBE", "state": "optimized geometry", "crystal_system": "tetragonal", "magmom_total_mub_per_cell": 0.00, "sg": "No. 122", "lattice_angstrom": [[-5.563, 5.563, 1.901], [5.563, -5.563, 1.901], [5.563, 5.563, -1.901]], "species": ["K", "K", "K", "K", "P", "P", "O", "O"], "fractional_positions": [[0.375, 0.098, 0.224], [0.848, 0.625, 0.724], [0.875, 0.152, 0.776], [0.902, 0.125, 0.276], [0.250, 0.750, 0.500], [0.500, 0.500, 0.000], [0.000, 0.000, 0.000], [0.750, 0.250, 0.500]]}

=====

B | {"formula": "K2PO", "functional": "PBE", "state": "optimized geometry", "crystal_system": "cubic", "magmom_total_mub_per_cell": 3.00, "sg": "No. 225", "lattice_angstrom": [[0.000, 3.710, 3.710], [3.710, 0.000, 3.710], [3.710, 3.710, 0.000]], "species": ["K", "K", "P", "O"], "fractional_positions": [[0.250, 0.250, 0.250], [0.750, 0.750, 0.750], [0.000, 0.000, 0.000], [0.500, 0.500, 0.500]]}

=====

Verdict on stability: B comes out at the bottom.

=====

A | {"formula": "KP2O2", "functional": "PBE", "state": "optimized geometry", "crystal_system": "tetragonal", "magmom_total_mub_per_cell": 1.26, "sg": "No. 123", "lattice_angstrom": [[3.943, 0.000, 0.000], [0.000, 3.943, 0.000], [0.000, 0.000, 4.529]], "species": ["K", "P", "P", "O", "O"], "fractional_positions": [[0.000, 0.000, 0.000], [0.500, 0.500, 0.000], [0.500, 0.500, 0.500], [0.000, 0.500, 0.500], [0.500, 0.000, 0.500]]}

=====

B | {"formula": "KP2O2", "functional": "PBE", "state": "optimized geometry", "crystal_system": "tetragonal", "magmom_total_mub_per_cell": 4.27, "sg": "No. 123", "lattice_angstrom": [[4.327, 0.000, 0.000], [0.000, 4.327, 0.000], [0.000, 0.000, 6.706]], "species": ["K", "P", "P", "O", "O"], "fractional_positions": [[0.000, 0.000, 0.000], [0.000, 0.000, 0.500], [0.500, 0.500, 0.500], [0.000, 0.500, 0.000], [0.500, 0.000, 0.000]]}

=====

C | {"formula": "KP2O2", "functional": "PBE", "state": "optimized geometry", "crystal_system": "tetragonal", "magmom_total_mub_per_cell": 1.12, "sg": "No. 123", "lattice_angstrom": [[3.885, 0.000, 0.000], [0.000, 3.885, 0.000], [0.000, 0.000, 6.778]], "species": ["K", "P", "P", "O", "O"], "fractional_positions": [[0.000, 0.000, 0.000], [0.000, 0.500, 0.500], [0.500, 0.000, 0.500], [0.500, 0.500, 0.000], [0.500, 0.500, 0.500]]}

=====

D | {"formula": "KP2O2", "functional": "PBE", "state": "optimized geometry", "crystal_system": "tetragonal", "magmom_total_mub_per_cell": 7.95, "sg": "No. 123", "lattice_angstrom": [[7.068, 0.000, 0.000], [0.000, 7.068, 0.000], [0.000, 0.000, 4.828]], "species": ["K", "P", "P", "O", "O"], "fractional_positions": [[0.000, 0.000, 0.000], [0.000, 0.500, 0.000], [0.500, 0.000, 0.000], [0.000, 0.000, 0.500], [0.500, 0.500, 0.500]]}

=====

Verdict on stability: D comes out at the bottom.

=====

A | {"formula": "K2PO3", "functional": "PBE", "state": "optimized geometry", "crystal_system": "orthorhombic", "magmom_total_mub_per_cell": 0.00, "sg": "No. 69", "lattice_angstrom": [[0.000, 6.023, 6.167], [3.850, 0.000, 6.167], [3.850, 6.023, 0.000]], "species": ["K", "K", "K", "K", "P", "P", "O", "O", "O", "O", "O", "O"], "fractional_positions": [[0.233, 0.767, 0.767], [0.250, 0.250, 0.250], [0.750, 0.750, 0.750], [0.767, 0.233, 0.233], [0.234, 0.234, 0.766], [0.766, 0.766, 0.234], [0.060, 0.276, 0.724], [0.276, 0.060, 0.940], [0.358, 0.358, 0.642], [0.642, 0.642, 0.358], [0.724, 0.940, 0.060], [0.940, 0.724, 0.276]]}

=====

B | {"formula": "K2PO3", "functional": "PBE", "state": "optimized geometry", "crystal_system": "orthorhombic", "magmom_total_mub_per_cell": 0.00, "sg": "No. 64", "lattice_angstrom": [[2.428, -9.608, 0.000], [2.428, 9.608, 0.000], [0.000, 0.000, 14.180]], "species": ["K", "K", "K", "K", "K", "K", "K", "K", "P", "P", "P", "P", "O", "O", "O", "O", "O", "O", "O", "O", "O", "O", "O", "O"], "fractional_positions": [[0.041, 0.959, 0.859], [0.181, 0.819, 0.413], [0.319, 0.681, 0.913], [0.459, 0.541, 0.359], [0.541, 0.459, 0.641], [0.681, 0.319, 0.087], [0.819, 0.181, 0.587], [0.959, 0.041, 0.141], [0.193, 0.807, 0.686], [0.307, 0.693, 0.186], [0.693, 0.307, 0.814], [0.807, 0.193, 0.314], [0.025, 0.475, 0.250], [0.115, 0.885, 0.684], [0.234, 0.766, 0.595], [0.266, 0.734, 0.095], [0.385, 0.615, 0.184], [0.475, 0.025, 0.750], [0.525, 0.975, 0.250], [0.615, 0.385, 0.816], [0.734, 0.266, 0.905], [0.766, 0.234, 0.405], [0.885, 0.115, 0.316], [0.975, 0.525, 0.750]]}

=====

Verdict on stability: A comes out at the bottom.

=====

A | {"formula": "KPPbO2", "functional": "PBE", "state": "optimized geometry", "crystal_system": "tetragonal", "magmom_total_mub_per_cell": 3.96, "sg": "No. 123", "lattice_angstrom": [[4.623, 0.000, 0.000], [0.000, 4.623, 0.000], [0.000, 0.000, 5.873]], "species": ["K", "P", "Pb", "O", "O"], "fractional_positions": [[0.000, 0.000, 0.000], [0.000, 0.000, 0.500], [0.500, 0.500, 0.500], [0.000, 0.500, 0.000], [0.500, 0.000, 0.000]]}

=====

B | {"formula": "KPPbO2", "functional": "PBE", "state": "optimized geometry", "crystal_system": "tetragonal", "magmom_total_mub_per_cell": 2.15, "sg": "No. 123", "lattice_angstrom": [[4.485, 0.000, 0.000], [0.000, 4.485, 0.000], [0.000, 0.000, 5.343]], "species": ["K", "P", "Pb", "O", "O"], "fractional_positions": [[0.000, 0.000, 0.000], [0.500, 0.500, 0.000], [0.500, 0.500, 0.500], [0.000, 0.500, 0.500], [0.500, 0.000, 0.500]]}

=====

Verdict on stability: A comes out at the bottom.